Here is an optimized crystal structure of Zr2FeAg from the Alexandria database. Energies are from PBE-GGA.

Relative energy among the computed polymorphs ... 0.000 eV/atom
Symmetry ... P4/mmm (123)
Energy of formation from the pure elements ... -0.11 eV per atom

```
Zr2FeAg
1.0
-1.627 2.604 0.596
-2.085 -1.674 1.623
4.008 1.071 6.255
Ag Fe Zr
1 1 2
Cartesian
-0.854 0.733 2.673 Ag
1.150 1.268 5.801 Fe
3.859 1.031 6.022 Zr
2.153 0.575 3.360 Zr
```